# 1
{"formula": "AgHgPt2", "functional": "meta-GGA SCAN", "state": "PBEsol geometry", "magnetic_moment_mub_per_cell": 0.0, "delta_e_f_ev_per_atom": 0.06, "lattice_angstrom": [[2.880, 0.000, 0.000], [0.000, 3.960, 0.000], [0.000, 0.000, 5.744]], "species": ["Ag", "Hg", "Pt", "Pt"], "fractional_positions": [[0.000, 0.000, 0.000], [0.000, 0.000, 0.500], [0.500, 0.500, 0.244], [0.500, 0.500, 0.756]]}

=====

# 2
{"formula": "Sc2Os", "functional": "meta-GGA SCAN", "state": "PBEsol geometry", "magnetic_moment_mub_per_cell": 0.0, "delta_e_f_ev_per_atom": -0.40, "lattice_angstrom": [[0.000, 6.064, 6.064], [6.064, 0.000, 6.064], [6.064, 6.064, 0.000]], "species": ["Sc", "Sc", "Sc", "Sc", "Sc", "Sc", "Sc", "Sc", "Sc", "Sc", "Sc", "Sc", "Sc", "Sc", "Sc", "Sc", "Os", "Os", "Os", "Os", "Os", "Os", "Os", "Os"], "fractional_positions": [[0.000, 0.000, 0.000], [0.000, 0.000, 0.500], [0.000, 0.500, 0.000], [0.183, 0.183, 0.567], [0.183, 0.567, 0.183], [0.183, 0.567, 0.567], [0.433, 0.433, 0.817], [0.433, 0.817, 0.433], [0.433, 0.817, 0.817], [0.500, 0.000, 0.000], [0.567, 0.183, 0.183], [0.567, 0.183, 0.567], [0.567, 0.567, 0.183], [0.817, 0.433, 0.433], [0.817, 0.433, 0.817], [0.817, 0.817, 0.433], [0.135, 0.788, 0.788], [0.212, 0.212, 0.212], [0.212, 0.212, 0.865], [0.212, 0.865, 0.212], [0.788, 0.135, 0.788], [0.788, 0.788, 0.135], [0.788, 0.788, 0.788], [0.865, 0.212, 0.212]]}

=====

Number 1: total DFT energy (no corrections) -59.916 eV per atom. Number 2: total DFT energy (no corrections) -33.849 eV per atom.